# LiCuB3

A geometry-optimized LiCuB3 structure (PBE, Alexandria via LeMat-Bulk).

Summary:
- DOS(E_F) (states/eV per atom) = 0.282
- size of the total moment (μB/f.u.) = 0.0
- E_form (eV per atom) = 1.931
- E above lowest polymorph (eV/atom) = 0.5931
- theoretical density (g/cm³) = 3.61

a = 3.6182 Å, b = 3.6182 Å, c = 3.6182 Å
α = 90.00°, β = 90.00°, γ = 90.00°
With the nearest neighbours (Å) after each atom.
Fractional positions:
B: 0.0000 0.5000 0.0000  2 Li 1.81
B: 0.0000 0.0000 0.5000  2 Li 1.81
B: 0.5000 0.0000 0.0000  2 Li 1.81
Cu: 0.5000 0.5000 0.5000  12 B 2.56
Li: 0.0000 0.0000 0.0000  6 B 1.81

# HfMg2Ag

A geometry-optimized HfMg2Ag structure (PBE, Alexandria via LeMat-Bulk).

Summary:
- DOS(E_F) (states/eV per atom) = 0.696
- size of the total moment (μB/f.u.) = 0.0
- E_form (eV per atom) = 0.360
- E above lowest polymorph (eV/atom) = 0.3909
- theoretical density (g/cm³) = 6.36

a = 7.7531 Å, b = 7.7531 Å, c = 6.2057 Å
α = 51.34°, β = 51.34°, γ = 90.00°
With the nearest neighbours (Å) after each atom.
Fractional positions:
Mg: 0.5869 0.1250 0.2500  2 Ag 2.64
Mg: 0.1631 0.6250 0.2500  2 Ag 2.64
Mg: 0.3750 0.4131 0.7500  2 Ag 2.64
Mg: 0.8750 0.8369 0.7500  2 Ag 2.64
Hf: 0.0000 0.0000 0.0000  2 Ag 2.91, 4 Mg 3.05
Hf: 0.7500 0.2500 0.5000  2 Ag 2.91, 4 Mg 3.05
Ag: 0.5000 0.5000 0.0000  4 Mg 2.64, 2 Hf 2.91
Ag: 0.2500 0.7500 0.5000  4 Mg 2.64, 2 Hf 2.91

# Ce3ThPb

A geometry-optimized Ce3ThPb structure (PBE, Alexandria via LeMat-Bulk).

Summary:
- DOS(E_F) (states/eV per atom) = 2.214
- size of the total moment (μB/f.u.) = 0.6
- E_form (eV per atom) = -0.075
- theoretical density (g/cm³) = 9.56

a = 5.8502 Å, b = 6.6229 Å, c = 7.7494 Å
α = 90.00°, β = 96.25°, γ = 90.00°
With the nearest neighbours (Å) after each atom.
Fractional positions:
Ce: 0.8241 0.9847 0.7861  1 Ce 2.72
Ce: 0.1759 0.0153 0.2139  1 Ce 2.72
Ce: 0.8241 0.5153 0.7861  1 Ce 2.72
Ce: 0.1759 0.4847 0.2139  1 Ce 2.72
Ce: 0.1976 0.7500 0.4835  2 Ce 2.72
Ce: 0.8024 0.2500 0.5165  2 Ce 2.72
Th: 0.6809 0.7500 0.2696  6 Ce 3.29-3.45, 3 Pb 3.38-3.53
Th: 0.3191 0.2500 0.7304  6 Ce 3.29-3.45, 3 Pb 3.38-3.53
Pb: 0.3395 0.7500 0.8883  7 Ce 3.16-3.41, 3 Th 3.38-3.53
Pb: 0.6605 0.2500 0.1117  7 Ce 3.16-3.41, 3 Th 3.38-3.53